Record 1
InTeI2N: optimized geometry, PBE.

The space group is P4/mmm (No. 123) and the conventional cell measures 5.2521, 5.2521 and 4.8444 Å, with angles of 90.00, 90.00 and 90.00 degrees. Symmetry generates all atoms from In at (0.0000, 0.0000, 0.0000), Te at (0.5000, 0.5000, 0.0000), I at (0.0000, 0.5000, 0.5000) and N at (0.5000, 0.5000, 0.5000).

For the uncorrected formation energy, the calculation gives 0.676 eV/atom. The value obtained for the energy is -13.925 eV per cell. The size of the total moment is 0.003 μB/cell. As for the energy above the most stable polymorph in this dataset: 0.271 eV/atom. For the volume, the calculation gives 26.73 Å³/atom.


Record 2
LaTlOs2: optimized geometry, PBE.

The space group is I-42d (No. 122) and the conventional cell measures 7.8159, 7.8159 and 5.8155 Å, with angles of 90.00, 90.00 and 90.00 degrees. Symmetry generates all atoms from La at (0.0000, 0.0000, 0.0000), Tl at (0.0000, 0.0000, 0.5000) and Os at (0.2315, 0.2500, 0.6250).

The value obtained for the energy is -101.006 eV per cell. The size of the total moment is 0.000 μB/cell. As for the energy above the most stable polymorph in this dataset: 0.855 eV/atom. For the volume, the calculation gives 22.20 Å³/atom. The calculation puts the energy of formation at 1.13 eV per atom.


Record 3
Na14InSn: optimized geometry, PBE.

The space group is Cmmm (No. 65) and the conventional cell measures 10.3203, 10.3314 and 9.9633 Å, with angles of 90.00, 90.00 and 90.00 degrees. Symmetry generates all atoms from Na at (0.0000, 0.0000, 0.0000), Na at (0.0000, 0.2479, 0.2761), Na at (0.0000, 0.5000, 0.0000), Na at (0.2480, 0.0000, 0.2762), Na at (0.2500, 0.2500, 0.0000), Na at (0.2500, 0.2500, 0.5000), In at (0.0000, 0.5000, 0.5000) and Sn at (0.0000, 0.0000, 0.5000).

The value obtained for the energy is -51.386 eV per cell. The size of the total moment is 0.000 μB/cell. For the volume, the calculation gives 33.20 Å³/atom. The calculation puts the energy of formation at -0.03 eV per atom.


Record 4
AgBTeI2: optimized geometry, PBE.

The space group is P4/mmm (No. 123) and the conventional cell measures 5.6585, 5.6585 and 5.4886 Å, with angles of 90.00, 90.00 and 90.00 degrees. Symmetry generates all atoms from Ag at (0.0000, 0.0000, 0.0000), B at (0.5000, 0.5000, 0.5000), Te at (0.0000, 0.0000, 0.5000) and I at (0.0000, 0.5000, 0.0000).

For the uncorrected formation energy, the calculation gives 1.208 eV/atom. The value obtained for the energy is -9.729 eV per cell. The size of the total moment is 0.000 μB/cell. As for the energy above the most stable polymorph in this dataset: 0.424 eV/atom. For the volume, the calculation gives 35.15 Å³/atom.


Record 5
ScGaBr: optimized geometry, PBE.

The space group is C2/m (No. 12) and the conventional cell measures 6.6997, 3.8698 and 11.9962 Å, with angles of 90.00, 100.62 and 90.00 degrees. Symmetry generates all atoms from Sc at (0.1007, 0.0000, 0.3001), Ga at (0.1833, 0.0000, 0.5502) and Br at (0.1125, 0.5000, 0.8410).

For the uncorrected formation energy, the calculation gives -0.983 eV/atom. The value obtained for the energy is -55.921 eV per cell. The size of the total moment is 0.000 μB/cell. For the volume, the calculation gives 25.47 Å³/atom.


Record 6
LaFeRu2: optimized geometry, PBE.

The space group is Pmmm (No. 47) and the conventional cell measures 3.1941, 4.5417 and 4.8154 Å, with angles of 90.00, 90.00 and 90.00 degrees. Symmetry generates all atoms from La at (0.0000, 0.0000, 0.0000), Fe at (0.5000, 0.0000, 0.5000), Ru at (0.0000, 0.5000, 0.5000) and Ru at (0.5000, 0.5000, 0.0000).

The value obtained for the energy is -30.213 eV per cell. The size of the total moment is 3.806 μB/cell. As for the energy above the most stable polymorph in this dataset: 0.350 eV/atom. For the volume, the calculation gives 17.46 Å³/atom. The calculation puts the energy of formation at 0.43 eV per atom.


Record 7
Be17CrFe: optimized geometry, PBE.

The space group is R3m (No. 160, hexagonal axes) and the conventional cell measures 7.1642, 7.1642 and 10.5449 Å, with angles of 90.00, 90.00 and 120.00 degrees. Symmetry generates all atoms from Be at (0.0000, 0.0000, 0.0522), Be at (0.0000, 0.0000, 0.2562), Be at (0.0044, 0.5022, 0.3096), Be at (0.0274, 0.3582, 0.8225), Be at (0.1695, 0.3390, 0.9912), Be at (0.1717, 0.3435, 0.3333), Cr at (0.0000, 0.0000, 0.4934) and Fe at (0.0000, 0.0000, 0.8173).

The value obtained for the energy is -248.267 eV per cell. The size of the total moment is 8.923 μB/cell. For the volume, the calculation gives 8.22 Å³/atom. The calculation puts the energy of formation at -0.07 eV per atom.


Record 8
Sm5YP6: optimized geometry, PBE.

The space group is C2/m (No. 12) and the conventional cell measures 7.0905, 12.2779 and 7.0883 Å, with angles of 90.00, 109.47 and 90.00 degrees. Symmetry generates all atoms from Sm at (0.0000, 0.0000, 0.0000), Sm at (0.0000, 0.1665, 0.5000), Sm at (0.0000, 0.3329, 0.0000), Y at (0.0000, 0.5000, 0.5000), P at (0.2479, 0.3347, 0.7481) and P at (0.2477, 0.5000, 0.2515).

The value obtained for the energy is -162.962 eV per cell. The size of the total moment is 0.000 μB/cell. For the volume, the calculation gives 24.24 Å³/atom. The calculation puts the energy of formation at -1.58 eV per atom.